# BaCd3Te meta-GGA SCAN PBEsol geometry
# **Raw formation energy**: 0.096 eV per atom
data_BaCd3Te
_space_group_name_H-M_alt 'P m -3 m'
_space_group_IT_number 221
_space_group_name_Hall '-P 4 2 3'
_cell_length_a 5.6834
_cell_length_b 5.6834
_cell_length_c 5.6834
_cell_angle_alpha 90.00
_cell_angle_beta 90.00
_cell_angle_gamma 90.00
loop_
_atom_site_label
_atom_site_fract_x
_atom_site_fract_y
_atom_site_fract_z
_atom_site_occupancy
Ba1 0.0000 0.0000 0.0000 1
Cd1 0.0000 0.5000 0.5000 1
Te1 0.5000 0.5000 0.5000 1


# BaCd2Te2 meta-GGA SCAN PBEsol geometry
# **Raw formation energy**: -0.827 eV per atom
data_BaCd2Te2
_space_group_name_H-M_alt 'I 4/m m m'
_space_group_IT_number 139
_space_group_name_Hall '-I 4 2'
_cell_length_a 5.5373
_cell_length_b 5.5373
_cell_length_c 10.0914
_cell_angle_alpha 90.00
_cell_angle_beta 90.00
_cell_angle_gamma 90.00
loop_
_atom_site_label
_atom_site_fract_x
_atom_site_fract_y
_atom_site_fract_z
_atom_site_occupancy
Ba1 0.0000 0.0000 0.0000 1
Cd1 0.0000 0.0000 0.3675 1
Te1 0.0000 0.5000 0.2500 1


# BaTlCd4 meta-GGA SCAN PBEsol geometry
# **Energy of formation from the pure elements**: -0.20 eV/atom
data_BaTlCd4
_space_group_name_H-M_alt 'F -4 3 m'
_space_group_IT_number 216
_space_group_name_Hall 'F -4 2 3'
_cell_length_a 8.5961
_cell_length_b 8.5961
_cell_length_c 8.5961
_cell_angle_alpha 90.00
_cell_angle_beta 90.00
_cell_angle_gamma 90.00
loop_
_atom_site_label
_atom_site_fract_x
_atom_site_fract_y
_atom_site_fract_z
_atom_site_occupancy
Ba1 0.0000 0.0000 0.0000 1
Tl1 0.2500 0.2500 0.7500 1
Cd1 0.1246 0.1246 0.3754 1


# Ba2TlCd meta-GGA SCAN PBEsol geometry
# **Energy of formation from the pure elements**: -0.49 eV/atom
# **Relative energy among the computed polymorphs**: 0.004 eV per atom
data_Ba2TlCd
_space_group_name_H-M_alt 'P m m 2'
_space_group_IT_number 25
_space_group_name_Hall 'P 2 -2'
_cell_length_a 4.1002
_cell_length_b 5.9256
_cell_length_c 5.9545
_cell_angle_alpha 90.00
_cell_angle_beta 90.00
_cell_angle_gamma 90.00
loop_
_atom_site_label
_atom_site_fract_x
_atom_site_fract_y
_atom_site_fract_z
_atom_site_occupancy
Ba1 0.0000 0.0000 0.0000 1
Ba2 0.0000 0.5000 0.4740 1
Tl1 0.5000 0.0000 0.5095 1
Cd1 0.5000 0.5000 0.9636 1


# BaTl2Cd2 meta-GGA SCAN PBEsol geometry
# **Energy of formation from the pure elements**: -0.38 eV/atom
data_BaTl2Cd2
_space_group_name_H-M_alt 'I 4/m m m'
_space_group_IT_number 139
_space_group_name_Hall '-I 4 2'
_cell_length_a 4.8387
_cell_length_b 4.8387
_cell_length_c 12.3741
_cell_angle_alpha 90.00
_cell_angle_beta 90.00
_cell_angle_gamma 90.00
loop_
_atom_site_label
_atom_site_fract_x
_atom_site_fract_y
_atom_site_fract_z
_atom_site_occupancy
Ba1 0.0000 0.0000 0.0000 1
Tl1 0.0000 0.0000 0.3817 1
Cd1 0.0000 0.5000 0.2500 1


# BaTlCd2 meta-GGA SCAN PBEsol geometry
# **Energy of formation from the pure elements**: -0.27 eV/atom
# **Relative energy among the computed polymorphs**: 0.057 eV per atom
data_BaTlCd2
_space_group_name_H-M_alt 'F -4 3 m'
_space_group_IT_number 216
_space_group_name_Hall 'F -4 2 3'
_cell_length_a 7.6542
_cell_length_b 7.6542
_cell_length_c 7.6542
_cell_angle_alpha 90.00
_cell_angle_beta 90.00
_cell_angle_gamma 90.00
loop_
_atom_site_label
_atom_site_fract_x
_atom_site_fract_y
_atom_site_fract_z
_atom_site_occupancy
Ba1 0.0000 0.0000 0.0000 1
Tl1 0.2500 0.2500 0.2500 1
Cd1 0.0000 0.0000 0.5000 1
Cd2 0.2500 0.2500 0.7500 1


# BaTlCd meta-GGA SCAN PBEsol geometry
# **Energy of formation from the pure elements**: -0.49 eV/atom
data_BaTlCd
_space_group_name_H-M_alt 'P -6 m 2'
_space_group_IT_number 187
_space_group_name_Hall 'P -6 2'
_cell_length_a 5.2019
_cell_length_b 5.2019
_cell_length_c 4.0740
_cell_angle_alpha 90.00
_cell_angle_beta 90.00
_cell_angle_gamma 120.00
loop_
_atom_site_label
_atom_site_fract_x
_atom_site_fract_y
_atom_site_fract_z
_atom_site_occupancy
Ba1 0.0000 0.0000 0.0000 1
Tl1 0.6667 0.3333 0.5000 1
Cd1 0.3333 0.6667 0.5000 1


# BaTlCd2 meta-GGA SCAN PBEsol geometry
# **Energy of formation from the pure elements**: -0.33 eV/atom
# **Relative energy among the computed polymorphs**: 0.000 eV per atom
data_BaTlCd2
_space_group_name_H-M_alt 'R 3 m'
_space_group_IT_number 160
_space_group_name_Hall 'R 3 -2"'
_cell_length_a 4.8847
_cell_length_b 4.8847
_cell_length_c 17.8233
_cell_angle_alpha 90.00
_cell_angle_beta 90.00
_cell_angle_gamma 120.00
loop_
_atom_site_label
_atom_site_fract_x
_atom_site_fract_y
_atom_site_fract_z
_atom_site_occupancy
Ba1 0.0000 0.0000 0.0000 1
Tl1 0.0000 0.0000 0.2184 1
Cd1 0.0000 0.0000 0.4810 1
Cd2 0.0000 0.0000 0.7921 1


# BaTlCd2 meta-GGA SCAN PBEsol geometry
# **Energy of formation from the pure elements**: -0.27 eV/atom
# **Relative energy among the computed polymorphs**: 0.064 eV per atom
data_BaTlCd2
_space_group_name_H-M_alt 'I 4/m m m'
_space_group_IT_number 139
_space_group_name_Hall '-I 4 2'
_cell_length_a 5.4200
_cell_length_b 5.4200
_cell_length_c 7.7085
_cell_angle_alpha 90.00
_cell_angle_beta 90.00
_cell_angle_gamma 90.00
loop_
_atom_site_label
_atom_site_fract_x
_atom_site_fract_y
_atom_site_fract_z
_atom_site_occupancy
Ba1 0.0000 0.0000 0.0000 1
Tl1 0.0000 0.0000 0.5000 1
Cd1 0.0000 0.5000 0.2500 1


# Ba2TlCd meta-GGA SCAN PBEsol geometry
# **Energy of formation from the pure elements**: -0.49 eV/atom
# **Relative energy among the computed polymorphs**: 0.007 eV per atom
data_Ba2TlCd
_space_group_name_H-M_alt 'P 4/m m m'
_space_group_IT_number 123
_space_group_name_Hall '-P 4 2'
_cell_length_a 4.1543
_cell_length_b 4.1543
_cell_length_c 8.3840
_cell_angle_alpha 90.00
_cell_angle_beta 90.00
_cell_angle_gamma 90.00
loop_
_atom_site_label
_atom_site_fract_x
_atom_site_fract_y
_atom_site_fract_z
_atom_site_occupancy
Ba1 0.0000 0.0000 0.2481 1
Tl1 0.5000 0.5000 0.5000 1
Cd1 0.5000 0.5000 0.0000 1


# Ba2TlCd meta-GGA SCAN PBEsol geometry
# **Energy of formation from the pure elements**: -0.49 eV/atom
# **Relative energy among the computed polymorphs**: 0.000 eV per atom
data_Ba2TlCd
_space_group_name_H-M_alt 'F m -3 m'
_space_group_IT_number 225
_space_group_name_Hall '-F 4 2 3'
_cell_length_a 8.3358
_cell_length_b 8.3358
_cell_length_c 8.3358
_cell_angle_alpha 90.00
_cell_angle_beta 90.00
_cell_angle_gamma 90.00
loop_
_atom_site_label
_atom_site_fract_x
_atom_site_fract_y
_atom_site_fract_z
_atom_site_occupancy
Ba1 0.2500 0.2500 0.2500 1
Tl1 0.0000 0.0000 0.0000 1
Cd1 0.0000 0.0000 0.5000 1


# Ba2TlCd2 meta-GGA SCAN PBEsol geometry
# **Energy of formation from the pure elements**: -0.33 eV/atom
data_Ba2TlCd2
_space_group_name_H-M_alt 'P 4/m b m'
_space_group_IT_number 127
_space_group_name_Hall '-P 4 2ab'
_cell_length_a 8.6054
_cell_length_b 8.6054
_cell_length_c 4.6655
_cell_angle_alpha 90.00
_cell_angle_beta 90.00
_cell_angle_gamma 90.00
loop_
_atom_site_label
_atom_site_fract_x
_atom_site_fract_y
_atom_site_fract_z
_atom_site_occupancy
Ba1 0.1821 0.3179 0.0000 1
Tl1 0.0000 0.0000 0.5000 1
Cd1 0.1185 0.6185 0.5000 1


# Ba2TlCd meta-GGA SCAN PBEsol geometry
# **Energy of formation from the pure elements**: -0.42 eV/atom
# **Relative energy among the computed polymorphs**: 0.074 eV per atom
data_Ba2TlCd
_space_group_name_H-M_alt 'I m m 2'
_space_group_IT_number 44
_space_group_name_Hall 'I 2 -2'
_cell_length_a 4.1257
_cell_length_b 5.7903
_cell_length_c 11.7977
_cell_angle_alpha 90.00
_cell_angle_beta 90.00
_cell_angle_gamma 90.00
loop_
_atom_site_label
_atom_site_fract_x
_atom_site_fract_y
_atom_site_fract_z
_atom_site_occupancy
Ba1 0.0000 0.0000 0.0000 1
Ba2 0.0000 0.5000 0.1926 1
Tl1 0.0000 0.5000 0.7585 1
Cd1 0.0000 0.0000 0.4399 1


# BaCdW2 meta-GGA SCAN PBEsol geometry
# **Energy of formation from the pure elements**: 1.74 eV/atom
data_BaCdW2
_space_group_name_H-M_alt 'I 4/m m m'
_space_group_IT_number 139
_space_group_name_Hall '-I 4 2'
_cell_length_a 4.1735
_cell_length_b 4.1735
_cell_length_c 9.8474
_cell_angle_alpha 90.00
_cell_angle_beta 90.00
_cell_angle_gamma 90.00
loop_
_atom_site_label
_atom_site_fract_x
_atom_site_fract_y
_atom_site_fract_z
_atom_site_occupancy
Ba1 0.0000 0.0000 0.0000 1
Cd1 0.0000 0.0000 0.5000 1
W1 0.0000 0.5000 0.2500 1


# BaCdW meta-GGA SCAN PBEsol geometry
# **Energy of formation from the pure elements**: 1.11 eV/atom
data_BaCdW
_space_group_name_H-M_alt 'I m m 2'
_space_group_IT_number 44
_space_group_name_Hall 'I 2 -2'
_cell_length_a 3.0350
_cell_length_b 4.1282
_cell_length_c 12.1003
_cell_angle_alpha 90.00
_cell_angle_beta 90.00
_cell_angle_gamma 90.00
loop_
_atom_site_label
_atom_site_fract_x
_atom_site_fract_y
_atom_site_fract_z
_atom_site_occupancy
Ba1 0.0000 0.0000 0.0000 1
Cd1 0.0000 0.0000 0.7081 1
W1 0.0000 0.0000 0.3019 1


# Ba2CdW meta-GGA SCAN PBEsol geometry
# **Energy of formation from the pure elements**: 0.98 eV/atom
data_Ba2CdW
_space_group_name_H-M_alt 'P 4/m m m'
_space_group_IT_number 123
_space_group_name_Hall '-P 4 2'
_cell_length_a 3.1981
_cell_length_b 3.1981
_cell_length_c 10.7625
_cell_angle_alpha 90.00
_cell_angle_beta 90.00
_cell_angle_gamma 90.00
loop_
_atom_site_label
_atom_site_fract_x
_atom_site_fract_y
_atom_site_fract_z
_atom_site_occupancy
Ba1 0.0000 0.0000 0.2360 1
Cd1 0.5000 0.5000 0.5000 1
W1 0.5000 0.5000 0.0000 1


# Ba2CdW meta-GGA SCAN PBEsol geometry
# **Energy of formation from the pure elements**: 1.16 eV/atom
data_Ba2CdW
_space_group_name_H-M_alt 'C 1 2/m 1'
_space_group_IT_number 12
_space_group_name_Hall '-C 2y'
_cell_length_a 9.3190
_cell_length_b 3.1519
_cell_length_c 8.5040
_cell_angle_alpha 90.00
_cell_angle_beta 94.87
_cell_angle_gamma 90.00
loop_
_atom_site_label
_atom_site_fract_x
_atom_site_fract_y
_atom_site_fract_z
_atom_site_occupancy
Ba1 0.2481 0.0000 0.2258 1
Cd1 0.0000 0.0000 0.5000 1
W1 0.0000 0.5000 0.0000 1


# Ba2CdW meta-GGA SCAN PBEsol geometry
# **Energy of formation from the pure elements**: 0.90 eV/atom
data_Ba2CdW
_space_group_name_H-M_alt 'C 1 m 1'
_space_group_IT_number 8
_space_group_name_Hall 'C -2y'
_cell_length_a 12.4752
_cell_length_b 3.2065
_cell_length_c 6.0356
_cell_angle_alpha 90.00
_cell_angle_beta 106.43
_cell_angle_gamma 90.00
loop_
_atom_site_label
_atom_site_fract_x
_atom_site_fract_y
_atom_site_fract_z
_atom_site_occupancy
Ba1 0.0000 0.0000 0.0000 1
Ba2 0.1888 0.0000 0.6199 1
Cd1 0.2672 0.5000 0.1747 1
W1 0.4343 0.0000 0.4734 1


# Ba2CdW2 meta-GGA SCAN PBEsol geometry
# **Energy of formation from the pure elements**: 0.71 eV/atom
data_Ba2CdW2
_space_group_name_H-M_alt 'I 4/m m m'
_space_group_IT_number 139
_space_group_name_Hall '-I 4 2'
_cell_length_a 3.6260
_cell_length_b 3.6260
_cell_length_c 22.1942
_cell_angle_alpha 90.00
_cell_angle_beta 90.00
_cell_angle_gamma 90.00
loop_
_atom_site_label
_atom_site_fract_x
_atom_site_fract_y
_atom_site_fract_z
_atom_site_occupancy
Ba1 0.0000 0.0000 0.1151 1
Cd1 0.0000 0.0000 0.5000 1
W1 0.0000 0.5000 0.2500 1


# BaYCd meta-GGA SCAN PBEsol geometry
# **Energy of formation from the pure elements**: -0.01 eV/atom
# **Relative energy among the computed polymorphs**: 0.000 eV per atom
data_BaYCd
_space_group_name_H-M_alt 'P -6 m 2'
_space_group_IT_number 187
_space_group_name_Hall 'P -6 2'
_cell_length_a 5.3979
_cell_length_b 5.3979
_cell_length_c 4.0575
_cell_angle_alpha 90.00
_cell_angle_beta 90.00
_cell_angle_gamma 120.00
loop_
_atom_site_label
_atom_site_fract_x
_atom_site_fract_y
_atom_site_fract_z
_atom_site_occupancy
Ba1 0.0000 0.0000 0.0000 1
Y1 0.3333 0.6667 0.5000 1
Cd1 0.6667 0.3333 0.5000 1


no.,theoretical density (g cm⁻³),M_tot (μB per atom)
1,5.45,0.000
2,6.63,0.000
3,8.28,0.000
4,6.79,0.000
5,8.84,0.000
6,8.39,0.000
7,7.90,0.026
8,7.66,0.000
9,8.31,0.000
10,6.79,0.000
11,6.78,0.000
12,6.77,0.000
13,6.97,0.000
14,11.95,0.000
15,9.50,0.001
16,8.61,0.000
17,7.62,0.384
18,8.19,0.000
19,8.59,0.000
20,5.49,0.000